1.
The following is a DFT calculation (PBE) of an optimized crystal structure of Hf2BeCuIr.

The value obtained for the offset from the most stable computed form is 0.50 kcal/mol of atoms. The value obtained for the formation energy is 36 kJ per mole of atoms.

The space group is P4/mmm (No. 123) and the conventional cell measures 4.8013, 4.8013 and 3.8265 Å, with angles of 90.00, 90.00 and 90.00 degrees. The distinct sites, in fractional coordinates, are Hf at (0.0000, 0.5000, 0.0000), Be at (0.0000, 0.0000, 0.5000), Cu at (0.0000, 0.0000, 0.0000) and Ir at (0.5000, 0.5000, 0.5000).

2.
The following is a DFT calculation (PBE) of an optimized crystal structure of Th2CuNi.

The value obtained for the formation energy is -26 kJ per mole of atoms.

The space group is P2_1/m (No. 11) and the conventional cell measures 5.9860, 4.1709 and 7.5397 Å, with angles of 90.00, 109.08 and 90.00 degrees. The distinct sites, in fractional coordinates, are Th at (0.2105, 0.2500, 0.4338), Th at (0.2110, 0.2500, 0.9199), Cu at (0.3608, 0.7500, 0.2145) and Ni at (0.3691, 0.7500, 0.7175).